[1]
Material: GaPbNF2
Method: DFT, SCAN
State: single point on PBEsol structure

## Properties
- Formation energy (no corrections): -1218.1 meV per atom
- Calculated volume: 64.68 Å³ per cell

Lattice parameters (Å, degrees): 3.7498 4.1531 4.1531 90.00 90.00 90.00
Last column: nearest neighbours and their distance in Å.
Fractional coordinates of all 5 atoms:
Pb 0.5000 0.5000 0.5000  8 F 2.80, 4 N 2.94
N 0.5000 0.0000 0.0000  2 Ga 1.87
Ga 0.0000 0.0000 0.0000  2 N 1.87, 4 F 2.08
F 0.0000 0.0000 0.5000  2 Ga 2.08
F 0.0000 0.5000 0.0000  2 Ga 2.08

[2]
Material: SiHg2Te
Method: DFT, SCAN
State: single point on PBEsol structure

## Properties
- Formation energy (no corrections): 391.9 meV per atom
- Calculated volume: 94.81 Å³ per cell

Lattice parameters (Å, degrees): 3.0572 4.9364 6.9209 110.89 102.76 90.00
Last column: nearest neighbours and their distance in Å.
Fractional coordinates of all 4 atoms:
Hg 0.7993 0.7993 0.5986  2 Si 2.95, 6 Hg 3.06-3.16
Hg 0.2007 0.2007 0.4014  2 Si 2.95, 6 Hg 3.06-3.16
Si 0.5000 0.0000 0.0000  4 Te 2.90, 4 Hg 2.95, 2 Si 3.06
Te 0.0000 0.5000 0.0000  4 Si 2.90, 2 Te 3.06

[3]
Material: KLi2S2
Method: DFT, SCAN
State: single point on PBEsol structure

## Properties
- Formation energy (no corrections): -1195.9 meV per atom
- Calculated volume: 93.77 Å³ per cell

Lattice parameters (Å, degrees): 4.1708 4.1708 6.1445 109.84 109.84 90.00
Last column: nearest neighbours and their distance in Å.
Fractional coordinates of all 5 atoms:
K 0.0000 0.0000 0.0000  8 S 3.29, 8 Li 3.41
S 0.3655 0.3655 0.7311  4 Li 2.43
S 0.6345 0.6345 0.2689  4 Li 2.43
Li 0.2500 0.7500 0.5000  4 S 2.43
Li 0.7500 0.2500 0.5000  4 S 2.43

Please write out number 3 again, unchanged.
Material: KLi2S2
Method: DFT, SCAN
State: single point on PBEsol structure

## Properties
- Formation energy (no corrections): -1195.9 meV per atom
- Calculated volume: 93.77 Å³ per cell

Lattice parameters (Å, degrees): 4.1708 4.1708 6.1445 109.84 109.84 90.00
Last column: nearest neighbours and their distance in Å.
Fractional coordinates of all 5 atoms:
K 0.0000 0.0000 0.0000  8 S 3.29, 8 Li 3.41
S 0.3655 0.3655 0.7311  4 Li 2.43
S 0.6345 0.6345 0.2689  4 Li 2.43
Li 0.2500 0.7500 0.5000  4 S 2.43
Li 0.7500 0.2500 0.5000  4 S 2.43